Record 1
Here is a relaxed structure of Ho2ZnCo from the Alexandria database. Energies are from PBE.

```
Ho2ZnCo
1.0
3.387 0.000 0.000
0.000 3.387 0.000
0.000 0.000 7.147
Ho Zn Co
2 1 1
Cartesian
0.000 0.000 1.625
0.000 0.000 5.522
1.693 1.693 3.574
1.693 1.693 0.000
```

Output
The formation energy is -0.2737 eV/atom. The crystal system is tetragonal. As for the space-group type: P4/mmm, No. 123.


Record 2
Here is a relaxed structure of Y2InHRu from the Alexandria database. Energies are from PBE.

```
Y2InHRu
1.0
5.033 0.000 0.000
0.000 5.033 0.000
0.000 0.000 3.729
Y In H Ru
2 1 1 1
Cartesian
0.000 2.517 0.000
2.517 0.000 0.000
0.000 0.000 1.865
2.517 2.517 0.000
2.517 2.517 1.865
```

Output
The calculation puts the energy at -6.09 eV/atom. The crystal system is tetragonal. As for the space-group type: P4/mmm, No. 123.


Record 3
Here is a relaxed structure of Sc2OsBr from the Alexandria database. Energies are from PBE.

```
Sc2OsBr
1.0
3.236 0.000 0.000
0.000 3.236 0.000
0.000 0.000 7.760
Sc Os Br
2 1 1
Cartesian
0.000 0.000 1.570
0.000 0.000 6.189
1.618 1.618 0.000
1.618 1.618 3.880
```

Output
The value obtained for the formation energy (no corrections) is -0.685 eV/atom. The crystal system is tetragonal. As for the space-group type: P4/mmm, No. 123.